No. 1
Below is a geometry-optimized Pr4C2Br5 structure, with properties calculated at the PBE level.

a = 10.0388 Å, b = 10.0388 Å, c = 8.3698 Å
α = 105.08°, β = 105.08°, γ = 22.77°
Last column: nearest neighbours and their distance in Å.
Fractional coordinates of all 11 atoms:
Pr 0.0002 0.0002 0.7974  4 C 2.70-2.71
Pr 0.3429 0.3429 0.8940  1 C 2.28
Pr 0.9998 0.9998 0.2026  4 C 2.70-2.71
Pr 0.6571 0.6571 0.1060  1 C 2.28
Br 0.8331 0.8331 0.1630  4 Pr 3.04-3.37
Br 0.8400 0.8400 0.6261  3 Pr 2.98-3.10
Br 0.5000 0.5000 0.5000  4 Pr 3.18
Br 0.1669 0.1669 0.8370  4 Pr 3.04-3.37
Br 0.1600 0.1600 0.3739  3 Pr 2.98-3.10
C 0.5369 0.5369 0.0242  1 C 1.40
C 0.4631 0.4631 0.9758  1 C 1.40

No. 2
Below is a geometry-optimized Pr3CBr5 structure, with properties calculated at the PBE level.

a = 7.7210 Å, b = 9.1962 Å, c = 9.3109 Å
α = 107.79°, β = 97.47°, γ = 105.59°
Last column: nearest neighbours and their distance in Å.
Fractional coordinates of all 18 atoms:
Br 0.8204 0.2689 0.3579  3 Pr 2.97-3.20
Br 0.1796 0.7311 0.6421  3 Pr 2.97-3.20
Br 0.6514 0.5320 0.7210  2 Pr 2.89-2.96
Br 0.2515 0.0861 0.4648  3 Pr 2.96-3.24
Br 0.0915 0.3728 0.8238  3 Pr 2.96-3.22
Br 0.7485 0.9139 0.5352  3 Pr 2.96-3.24
Br 0.3486 0.4680 0.2790  2 Pr 2.89-2.96
Br 0.9085 0.6272 0.1762  3 Pr 2.96-3.22
Br 0.5426 0.1818 0.9148  4 Pr 3.11-3.23
Br 0.4574 0.8182 0.0852  4 Pr 3.11-3.23
Pr 0.6104 0.8485 0.7993  1 C 2.33
Pr 0.0282 0.7183 0.9171  2 C 2.63-2.65
Pr 0.3896 0.1515 0.2007  1 C 2.33
Pr 0.8866 0.9558 0.2316  2 C 2.62-2.64
Pr 0.9718 0.2817 0.0829  2 C 2.63-2.65
Pr 0.1134 0.0442 0.7684  2 C 2.62-2.64
C 0.0910 0.0331 0.0455  1 C 1.41
C 0.9090 0.9669 0.9545  1 C 1.41

No. 3
Below is a geometry-optimized Pr2CBr structure, with properties calculated at the PBE level.

a = 3.8435 Å, b = 3.8435 Å, c = 15.0370 Å
α = 90.00°, β = 90.00°, γ = 120.00°
Last column: nearest neighbours and their distance in Å.
Fractional coordinates of all 8 atoms:
C 0.0000 0.0000 0.0000  6 Pr 2.62
C 0.0000 0.0000 0.5000  6 Pr 2.62
Pr 0.3333 0.6667 0.5923  3 C 2.62
Pr 0.3333 0.6667 0.9078  3 C 2.62
Pr 0.6667 0.3333 0.4077  3 C 2.62
Pr 0.6667 0.3333 0.0922  3 C 2.62
Br 0.3333 0.6667 0.2501  6 Pr 3.25
Br 0.6667 0.3333 0.7499  6 Pr 3.25

| no. | volume (Å³ per cell) | energy (eV per cell) |
| --- | --- | --- |
| 1 | 314.73 | -60.89 |
| 2 | 589.91 | -92.27 |
| 3 | 192.37 | -47.83 |